# 1
The following is a DFT calculation (PBE) of a geometry-optimized Na2SrTlAs2 structure.

It has space group Pmc2_1 (No. 26), with a = 4.552 Å, b = 8.953 Å, c = 8.132 Å, α = 90.00°, β = 90.00° and γ = 90.00°. Symmetry generates all atoms from Na at (0.000, 0.082, 0.000), Na at (0.500, 0.177, 0.317), Sr at (0.500, 0.432, 0.927), Tl at (0.000, 0.298, 0.590), As at (0.000, 0.392, 0.212) and As at (0.500, 0.136, 0.711).

The total moment comes out at 0.00 Bohr magnetons per cell. For the volume, the calculation gives 27.616 Å³ per atom. The calculation puts the energy of formation at -3.3 eV/f.u.

=====

# 2
The following is a DFT calculation (PBE) of a geometry-optimized NaTaAs structure.

It has space group P4/nmm (No. 129, origin choice 2), with a = 4.032 Å, b = 4.032 Å, c = 7.738 Å, α = 90.00°, β = 90.00° and γ = 90.00°. Symmetry generates all atoms from Na at (0.250, 0.250, 0.140), Ta at (0.250, 0.750, 0.500) and As at (0.250, 0.250, 0.734).

The total moment comes out at 0.00 Bohr magnetons per cell. For the volume, the calculation gives 20.963 Å³ per atom. The calculation puts the energy of formation at -1.1 eV/f.u.

=====

# 3
The following is a DFT calculation (PBE) of a geometry-optimized Na2TaAs4 structure.

It has space group I4/mmm (No. 139), with a = 5.032 Å, b = 5.032 Å, c = 14.843 Å, α = 90.00°, β = 90.00° and γ = 90.00°. Symmetry generates all atoms from Na at (0.000, 0.000, 0.134), Ta at (0.000, 0.000, 0.500), As at (0.000, 0.000, 0.330) and As at (0.000, 0.500, 0.000).

The total moment comes out at 0.00 Bohr magnetons per cell. For the volume, the calculation gives 26.845 Å³ per atom. The calculation puts the energy of formation at 0.1 eV/f.u.

=====

# 4
The following is a DFT calculation (PBE) of a geometry-optimized Na14Ta2As9 structure.

It has space group P-3 (No. 147), with a = 8.3201 Å, b = 8.3201 Å, c = 11.8334 Å, α = 90.00°, β = 90.00° and γ = 120.00°. Symmetry generates all atoms from Na at (0.0000, 0.0000, 0.2500), Na at (0.0391, 0.6812, 0.4095), Na at (0.0729, 0.3807, 0.0918), Ta at (0.3333, 0.6667, 0.7665), As at (0.0000, 0.0000, 0.5000), As at (0.0658, 0.3697, 0.8346) and As at (0.3333, 0.6667, 0.5546).

The total moment comes out at 2.75 Bohr magnetons per cell. For the volume, the calculation gives 28.376 Å³ per atom. The calculation puts the energy of formation at -9.4 eV/f.u.

=====

# 5
The following is a DFT calculation (PBE) of a geometry-optimized NaTa2As structure.

It has space group I-42d (No. 122), with a = 3.951 Å, b = 3.951 Å, c = 20.159 Å, α = 90.00°, β = 90.00° and γ = 90.00°. Symmetry generates all atoms from Na at (0.000, 0.000, 0.000), Ta at (0.232, 0.250, 0.625) and As at (0.000, 0.000, 0.500).

The total moment comes out at 0.00 Bohr magnetons per cell. For the volume, the calculation gives 19.671 Å³ per atom. The calculation puts the energy of formation at 2.9 eV/f.u.

=====

# 6
The following is a DFT calculation (PBE) of a geometry-optimized NaTbAs structure.

It has space group P3m1 (No. 156), with a = 4.2707 Å, b = 4.2707 Å, c = 6.4624 Å, α = 90.00°, β = 90.00° and γ = 120.00°. Symmetry generates all atoms from Na at (0.0000, 0.0000, 0.0000), Tb at (0.3333, 0.6667, 0.5367) and As at (0.6667, 0.3333, 0.7339).

The total moment comes out at 0.76 Bohr magnetons per cell. For the volume, the calculation gives 34.026 Å³ per atom. The calculation puts the energy of formation at -1.6 eV/f.u.

=====

# 7
The following is a DFT calculation (PBE) of a geometry-optimized NaTbAs structure.

It has space group P4/nmm (No. 129, origin choice 2), with a = 4.971 Å, b = 4.971 Å, c = 7.215 Å, α = 90.00°, β = 90.00° and γ = 90.00°. Symmetry generates all atoms from Na at (0.250, 0.250, 0.114), Tb at (0.250, 0.750, 0.500) and As at (0.250, 0.250, 0.706).

The total moment comes out at 0.00 Bohr magnetons per cell. For the volume, the calculation gives 29.719 Å³ per atom. The calculation puts the energy of formation at -2.1 eV/f.u.

=====

# 8
The following is a DFT calculation (PBE) of a geometry-optimized NaTcAs3 structure.

It has space group Pm-3m (No. 221), with a = 4.912 Å, b = 4.912 Å, c = 4.912 Å, α = 90.00°, β = 90.00° and γ = 90.00°. Symmetry generates all atoms from Na at (0.000, 0.000, 0.000), Tc at (0.500, 0.500, 0.500) and As at (0.000, 0.000, 0.500).

The excess energy over the best structure of this formula in the dataset is 1.327 eV per atom. The total moment comes out at 3.61 Bohr magnetons per cell. For the volume, the calculation gives 23.701 Å³ per atom. The calculation puts the energy of formation at 7.7 eV/f.u.

=====

# 9
The following is a DFT calculation (PBE) of a geometry-optimized NaTc2As2 structure.

It has space group I4/mmm (No. 139), with a = 4.181 Å, b = 4.181 Å, c = 10.573 Å, α = 90.00°, β = 90.00° and γ = 90.00°. Symmetry generates all atoms from Na at (0.000, 0.000, 0.000), Tc at (0.000, 0.500, 0.250) and As at (0.000, 0.000, 0.374).

The excess energy over the best structure of this formula in the dataset is 0.000 eV per atom. The total moment comes out at 0.00 Bohr magnetons per cell. For the volume, the calculation gives 18.482 Å³ per atom. The calculation puts the energy of formation at -0.9 eV/f.u.

=====

# 10
The following is a DFT calculation (PBE) of a geometry-optimized NaTc2As structure.

It has space group I-42d (No. 122), with a = 4.007 Å, b = 4.007 Å, c = 18.827 Å, α = 90.00°, β = 90.00° and γ = 90.00°. Symmetry generates all atoms from Na at (0.000, 0.000, 0.000), Tc at (0.154, 0.250, 0.625) and As at (0.000, 0.000, 0.500).

The total moment comes out at 0.00 Bohr magnetons per cell. For the volume, the calculation gives 18.888 Å³ per atom. The calculation puts the energy of formation at 2.4 eV/f.u.

=====

# 11
The following is a DFT calculation (PBE) of a geometry-optimized NaTcAs structure.

It has space group P4/nmm (No. 129, origin choice 2), with a = 4.021 Å, b = 4.021 Å, c = 7.243 Å, α = 90.00°, β = 90.00° and γ = 90.00°. Symmetry generates all atoms from Na at (0.250, 0.250, 0.147), Tc at (0.250, 0.750, 0.500) and As at (0.250, 0.250, 0.712).

The total moment comes out at 0.50 Bohr magnetons per cell. For the volume, the calculation gives 19.521 Å³ per atom. The calculation puts the energy of formation at -0.8 eV/f.u.

=====

# 12
The following is a DFT calculation (PBE) of a geometry-optimized NaTc2As2 structure.

It has space group P4/mbm (No. 127), with a = 7.347 Å, b = 7.347 Å, c = 2.989 Å, α = 90.00°, β = 90.00° and γ = 90.00°. Symmetry generates all atoms from Na at (0.000, 0.000, 0.000), Tc at (0.142, 0.358, 0.500) and As at (0.149, 0.649, 0.000).

The excess energy over the best structure of this formula in the dataset is 0.208 eV per atom. The total moment comes out at 0.00 Bohr magnetons per cell. For the volume, the calculation gives 16.132 Å³ per atom. The calculation puts the energy of formation at 0.2 eV/f.u.

=====

# 13
The following is a DFT calculation (PBE) of a geometry-optimized NaTcAs3 structure.

It has space group Pm-3m (No. 221), with a = 4.899 Å, b = 4.899 Å, c = 4.899 Å, α = 90.00°, β = 90.00° and γ = 90.00°. Symmetry generates all atoms from Na at (0.000, 0.000, 0.000), Tc at (0.500, 0.500, 0.500) and As at (0.000, 0.500, 0.500).

The excess energy over the best structure of this formula in the dataset is 0.000 eV per atom. The total moment comes out at 0.00 Bohr magnetons per cell. For the volume, the calculation gives 23.513 Å³ per atom. The calculation puts the energy of formation at 1.1 eV/f.u.

=====

# 14
The following is a DFT calculation (PBE) of a geometry-optimized NaTc2As2 structure.

It has space group I4/mmm (No. 139), with a = 4.653 Å, b = 4.653 Å, c = 8.841 Å, α = 90.00°, β = 90.00° and γ = 90.00°. Symmetry generates all atoms from Na at (0.000, 0.000, 0.000), Tc at (0.000, 0.000, 0.374) and As at (0.000, 0.500, 0.250).

The excess energy over the best structure of this formula in the dataset is 0.203 eV per atom. The total moment comes out at 0.00 Bohr magnetons per cell. For the volume, the calculation gives 19.139 Å³ per atom. The calculation puts the energy of formation at 0.1 eV/f.u.

=====

# 15
The following is a DFT calculation (PBE) of a geometry-optimized Na2TcAs2 structure.

It has space group P4/mbm (No. 127), with a = 6.481 Å, b = 6.481 Å, c = 4.849 Å, α = 90.00°, β = 90.00° and γ = 90.00°. Symmetry generates all atoms from Na at (0.176, 0.324, 0.000), Tc at (0.000, 0.000, 0.500) and As at (0.144, 0.644, 0.500).

The total moment comes out at 1.82 Bohr magnetons per cell. For the volume, the calculation gives 20.368 Å³ per atom. The calculation puts the energy of formation at -0.8 eV/f.u.

=====

# 16
The following is a DFT calculation (PBE) of a geometry-optimized Na2TcAs structure.

It has space group I-42d (No. 122), with a = 10.346 Å, b = 10.346 Å, c = 4.746 Å, α = 90.00°, β = 90.00° and γ = 90.00°. Symmetry generates all atoms from Na at (0.108, 0.250, 0.125), Tc at (0.000, 0.000, 0.500) and As at (0.000, 0.000, 0.000).

The total moment comes out at 9.81 Bohr magnetons per cell. For the volume, the calculation gives 31.749 Å³ per atom. The calculation puts the energy of formation at 2.1 eV/f.u.

=====

# 17
The following is a DFT calculation (PBE) of a geometry-optimized NaTc3As2 structure.

It has space group P-1 (No. 2), with a = 4.074 Å, b = 6.471 Å, c = 9.438 Å, α = 109.27°, β = 90.18° and γ = 108.34°. Symmetry generates all atoms from Na at (0.142, 0.289, 0.077), Tc at (0.048, 0.097, 0.397), Tc at (0.273, 0.544, 0.582), Tc at (0.397, 0.794, 0.399), As at (0.176, 0.349, 0.777) and As at (0.478, 0.951, 0.780).

The total moment comes out at 0.00 Bohr magnetons per cell. For the volume, the calculation gives 18.446 Å³ per atom. The calculation puts the energy of formation at -1.5 eV/f.u.

=====

# 18
The following is a DFT calculation (PBE) of a geometry-optimized NaTlTcAs2 structure.

It has space group P4/mmm (No. 123), with a = 5.354 Å, b = 5.354 Å, c = 5.185 Å, α = 90.00°, β = 90.00° and γ = 90.00°. Symmetry generates all atoms from Na at (0.000, 0.000, 0.000), Tl at (0.000, 0.000, 0.500), Tc at (0.500, 0.500, 0.000) and As at (0.000, 0.500, 0.500).

The total moment comes out at 4.05 Bohr magnetons per cell. For the volume, the calculation gives 29.721 Å³ per atom. The calculation puts the energy of formation at 7.1 eV/f.u.

=====

# 19
The following is a DFT calculation (PBE) of a geometry-optimized NaTe2As structure.

It has space group I-42d (No. 122), with a = 6.916 Å, b = 6.916 Å, c = 13.310 Å, α = 90.00°, β = 90.00° and γ = 90.00°. Symmetry generates all atoms from Na at (0.000, 0.000, 0.000), Te at (0.206, 0.250, 0.625) and As at (0.000, 0.000, 0.500).

As for the formation energy without anion corrections: -223 meV per atom. The total moment comes out at 0.00 Bohr magnetons per cell. For the volume, the calculation gives 39.793 Å³ per atom.

=====

# 20
The following is a DFT calculation (PBE) of a geometry-optimized Na4TeAs structure.

It has space group C2/m (No. 12), with a = 7.121 Å, b = 7.135 Å, c = 7.319 Å, α = 90.00°, β = 90.16° and γ = 90.00°. Symmetry generates all atoms from Na at (0.250, 0.250, 0.243), Te at (0.000, 0.000, 0.500) and As at (0.000, 0.500, 0.000).

As for the formation energy without anion corrections: -541 meV per atom. The total moment comes out at 2.08 Bohr magnetons per cell. For the volume, the calculation gives 30.986 Å³ per atom.